Entry 1:
Density functional theory data (PBE) for an optimized crystal structure of SiAs2Os.

a b c (Å): 4.251 4.251 6.509
angles (deg): 79.52 79.52 41.76
Sites, in units of the cell vectors:
Si (0.239, 0.239, 0.303)
As (0.000, 0.000, 0.103)
As (0.759, 0.759, 0.662)
Os (0.502, 0.502, 0.432)

Summary:
E_tot ... -6.35 eV/atom
Raw formation energy ... 0.1373 eV per atom
Magnetization ... 0.000 μB per formula unit
Volume ... 19.21 Å³ per atom

***

Entry 2:
Density functional theory data (PBE) for an optimized crystal structure of NbSe2F.

a b c (Å): 9.595 9.595 9.595
angles (deg): 17.34 17.34 17.34
Sites, in units of the cell vectors:
F (0.500, 0.500, 0.500)
Nb (0.000, 0.000, 0.000)
Se (0.095, 0.095, 0.095)
Se (0.905, 0.905, 0.905)

Summary:
E_tot ... -4.66 eV/atom
Raw formation energy ... 0.0662 eV per atom
Magnetization ... 0.000 μB per formula unit
Volume ... 17.12 Å³ per atom